The following is a PBE calculation of Ba2LaY after structural relaxation, from Alexandria.

Properties
Distance to the lowest polymorph of the same formula ... 0.106 eV/atom
Fermi-level density of states ... 6.62 states/eV/cell
Size of the total moment ... 0.0011 μB per atom
Space-group type ... No. 12

Cell lengths 6.9454, 6.9454, 6.7745 Å; angles 99.61, 99.61, 32.90 degrees
Fractional coordinates of all 4 atoms:
Ba  0.2484  0.2484  0.2482
Ba  0.7516  0.7516  0.7518
La  0.0000  0.0000  0.5000
Y  0.5000  0.5000  0.0000